Version w
MoAu2Cl at its PBEsol-relaxed geometry. Source: Alexandria via LeMat-Bulk, functional meta-GGA SCAN.

a b c (Å): 5.7083 5.7083 5.7083
angles (deg): 141.43 141.43 55.69
With the nearest neighbours (Å) after each atom.
Element x y z (fractional)
Mo 0.0000 0.0000 0.0000  4 Cl 2.67
Au 0.2500 0.7500 0.5000  4 Au 2.67
Au 0.7500 0.2500 0.5000  4 Au 2.67
Cl 0.5000 0.5000 0.0000  4 Mo 2.67

Values from the calculation:
As for the total magnetic moment: 3.78 μB per formula unit. As for the density: 12.16 Mg/m³. As for the space group: No. 139. The calculation puts the density of states at the Fermi level at 1.44 states/eV/cell.

Version x
MoAu2Cl at its PBEsol-relaxed geometry. Source: Alexandria via LeMat-Bulk, functional meta-GGA SCAN.

a b c (Å): 5.0988 5.0988 2.6987
angles (deg): 90.00 90.00 90.00
With the nearest neighbours (Å) after each atom.
Element x y z (fractional)
Mo 0.0000 0.0000 0.0000  2 Mo 2.70, 8 Au 2.88
Au 0.0000 0.5000 0.5000  2 Au 2.70, 4 Cl 2.88, 4 Mo 2.88
Au 0.5000 0.0000 0.5000  2 Au 2.70, 4 Cl 2.88, 4 Mo 2.88
Cl 0.5000 0.5000 0.0000  2 Cl 2.70, 8 Au 2.88

Values from the calculation:
As for the total magnetic moment: 0.00 μB per formula unit. As for the density: 12.43 Mg/m³. As for the space group: No. 123. The calculation puts the density of states at the Fermi level at 3.91 states/eV/cell.

Version y
MoAu2Cl at its PBEsol-relaxed geometry. Source: Alexandria via LeMat-Bulk, functional meta-GGA SCAN.

a b c (Å): 6.6337 6.6337 6.6337
angles (deg): 155.86 142.54 45.07
With the nearest neighbours (Å) after each atom.
Element x y z (fractional)
Mo 0.0000 0.0000 0.0000  4 Cl 2.54, 2 Mo 2.77, 4 Au 2.80
Au 0.1984 0.6984 0.5000  6 Au 2.77-2.84, 2 Mo 2.80
Au 0.8016 0.3016 0.5000  6 Au 2.77-2.84, 2 Mo 2.80
Cl 0.5000 0.5000 0.0000  4 Mo 2.54, 2 Cl 2.77

Values from the calculation:
As for the total magnetic moment: 1.53 μB per formula unit. As for the density: 12.04 Mg/m³. As for the space group: No. 71. The calculation puts the density of states at the Fermi level at 1.95 states/eV/cell.

version y has the most favorable energy; the next structure is 207 meV/atom above.